Arrangement P

Here is a geometry-optimized BeSb3Mo structure from the Alexandria database. Energies are from PBE-GGA.

Cell and atoms, written as extended XYZ:
```
5
Lattice="-4.704 -1.990 -1.114 2.157 -4.711 -0.690 -0.741 -1.081 5.060" Properties=species:S:1:pos:R:3 pbc="T T T"
Sb 1.078 -2.356 -0.345
Sb -0.370 -0.540 2.530
Sb -2.352 -0.995 -0.557
Mo 0.000 0.000 0.000
Be -1.644 -3.891 1.628
```

* crystal system: cubic
* space group: Pm-3m
* magnetic moment: 0.0 μB/f.u.


Arrangement Q

Here is a geometry-optimized BeSb3Mo structure from the Alexandria database. Energies are from PBE-GGA.

Cell and atoms, written as extended XYZ:
```
5
Lattice="-3.902 2.910 0.286 -1.216 -2.049 4.255 2.660 3.333 2.365" Properties=species:S:1:pos:R:3 pbc="T T T"
Sb -0.608 -1.024 2.127
Sb 1.330 1.667 1.183
Sb -1.951 1.455 0.143
Mo -1.229 2.098 3.453
Be 0.000 0.000 0.000
```

* crystal system: cubic
* space group: Pm-3m
* magnetic moment: 3.5 μB/f.u.


Most stable pick: arrangement P. Distance to second place: 19 meV per atom.


Arrangement P

Here is a geometry-optimized BeSbMo3 structure from the Alexandria database. Energies are from PBE-GGA.

Cell and atoms, written as extended XYZ:
```
5
Lattice="4.312 0.000 0.000 0.000 4.312 0.000 0.000 0.000 4.312" Properties=species:S:1:pos:R:3 pbc="T T T"
Sb 2.156 2.156 2.156
Mo 0.000 2.156 0.000
Mo 0.000 0.000 2.156
Mo 2.156 0.000 0.000
Be 0.000 0.000 0.000
```

* crystal system: cubic
* space group: Pm-3m
* magnetic moment: 0.0 μB/f.u.


Arrangement Q

Here is a geometry-optimized BeSbMo3 structure from the Alexandria database. Energies are from PBE-GGA.

Cell and atoms, written as extended XYZ:
```
5
Lattice="4.874 0.000 0.000 0.000 4.874 0.000 0.000 0.000 4.874" Properties=species:S:1:pos:R:3 pbc="T T T"
Sb 0.000 0.000 0.000
Mo 0.000 2.437 0.000
Mo 0.000 0.000 2.437
Mo 2.437 0.000 0.000
Be 2.437 2.437 2.437
```

* crystal system: cubic
* space group: Pm-3m
* magnetic moment: 0.0 μB/f.u.


Most stable pick: arrangement P. Distance to second place: 1675 meV per atom.


Arrangement P

Here is a geometry-optimized ScBeMo structure from the Alexandria database. Energies are from PBE-GGA.

Cell and atoms, written as extended XYZ:
```
3
Lattice="5.123 -0.003 -0.007 3.124 4.060 0.007 -3.972 -2.336 2.238" Properties=species:S:1:pos:R:3 pbc="T T T"
Sc 5.481 2.696 0.000
Be 8.030 3.950 0.000
Mo 2.984 1.468 0.000
```

* crystal system: orthorhombic
* space group: Imm2
* magnetic moment: 0.0 μB/f.u.


Arrangement Q

Here is a geometry-optimized ScBeMo structure from the Alexandria database. Energies are from PBE-GGA.

Cell and atoms, written as extended XYZ:
```
3
Lattice="-2.352 1.224 -3.154 -1.952 -2.791 -2.319 -4.098 -0.362 0.225" Properties=species:S:1:pos:R:3 pbc="T T T"
Sc -4.201 -0.965 -2.624
Be -6.302 -1.447 -3.936
Mo 0.000 0.000 0.000
```

* crystal system: cubic
* space group: F-43m
* magnetic moment: 0.0 μB/f.u.


Arrangement R

Here is a geometry-optimized ScBeMo structure from the Alexandria database. Energies are from PBE-GGA.

Cell and atoms, written as extended XYZ:
```
3
Lattice="4.360 0.000 0.000 2.180 3.776 0.000 2.180 1.259 3.560" Properties=species:S:1:pos:R:3 pbc="T T T"
Sc 6.541 3.776 2.670
Be 0.000 0.000 0.000
Mo 4.360 2.517 1.780
```

* crystal system: cubic
* space group: F-43m
* magnetic moment: 2.9 μB/f.u.


Most stable pick: arrangement P. Distance to second place: 347 meV per atom.